# InPtPb2

A geometry-optimized InPtPb2 structure (PBE-GGA, the Alexandria database).

Summary:
As for the formation energy: -0.14 eV/atom. As for the crystal system: orthorhombic. The space-group type is Cmmm.

The structure in POSCAR format:
```
InPtPb2
1.0
2.6279 -5.8503 0.0000
2.6279 5.8503 0.0000
0.0000 0.0000 3.8234
In Pt Pb
1 1 2
Direct
0.0000 0.0000 0.0000
0.5000 0.5000 0.0000
0.3244 0.6756 0.5000
0.6756 0.3244 0.5000
```

=====

# InPtPb2

A geometry-optimized InPtPb2 structure (PBE-GGA, the Alexandria database).

Summary:
As for the formation energy: -0.07 eV/atom. As for the crystal system: tetragonal. The space-group type is P4/mmm.

The structure in POSCAR format:
```
InPtPb2
1.0
3.4432 0.0000 0.0000
0.0000 3.4432 0.0000
0.0000 0.0000 8.6629
In Pt Pb
1 1 2
Direct
0.0000 0.0000 0.0000
0.0000 0.0000 0.5000
0.5000 0.5000 0.3002
0.5000 0.5000 0.6998
```

=====

# InPtPb2

A geometry-optimized InPtPb2 structure (PBE-GGA, the Alexandria database).

Summary:
As for the formation energy: -0.13 eV/atom. As for the crystal system: orthorhombic. The space-group type is Immm.

The structure in POSCAR format:
```
InPtPb2
1.0
-1.7490 2.2035 6.8381
1.7490 -2.2035 6.8381
1.7490 2.2035 -6.8381
In Pt Pb
1 1 2
Direct
0.0000 0.0000 0.0000
0.5000 0.5000 0.0000
0.3228 0.8228 0.5000
0.6772 0.1772 0.5000
```

=====

# InPtPb2

A geometry-optimized InPtPb2 structure (PBE-GGA, the Alexandria database).

Summary:
As for the formation energy: -0.07 eV/atom. As for the crystal system: trigonal. The space-group type is R-3m.

The structure in POSCAR format:
```
InPtPb2
1.0
1.9925 1.1504 8.0486
-1.9925 1.1504 8.0486
0.0000 -2.3008 8.0486
In Pt Pb
1 1 2
Direct
0.0000 0.0000 0.0000
0.5000 0.5000 0.5000
0.2341 0.2341 0.2341
0.7659 0.7659 0.7659
```